Ti4ZnRu5 | PBE-GGA | relaxed

```
10
Lattice="3.0829 0.0000 0.0000 0.0000 3.0829 0.0000 0.0000 0.0000 15.2497" Properties=species:S:1:pos:R:3 pbc="T T T"
Ti 0.0000 0.0000 1.5621
Ti 0.0000 0.0000 4.6827
Ti 0.0000 0.0000 10.5670
Ti 0.0000 0.0000 13.6877
Zn 0.0000 0.0000 7.6249
Ru 1.5415 1.5415 0.0000
Ru 1.5415 1.5415 3.0528
Ru 1.5415 1.5415 6.0862
Ru 1.5415 1.5415 9.1635
Ru 1.5415 1.5415 12.1970
```

Symmetry: P4/mmm (123)

***

Li2CeSn2 | PBE-GGA | relaxed

```
5
Lattice="-2.1921 2.1921 6.1834 2.1921 -2.1921 6.1834 2.1921 2.1921 -6.1834" Properties=species:S:1:pos:R:3 pbc="T T T"
Li 2.1921 0.0000 3.0917
Li 0.0000 2.1921 3.0917
Ce 0.0000 0.0000 0.0000
Sn 0.0000 0.0000 4.7752
Sn 0.0000 0.0000 7.5916
```

Offset from the most stable computed form, eV/f.u.: 0.00
Symmetry: I4/mmm (139)

***

Tl3AgTe3S8 | PBE-GGA | relaxed

```
15
Lattice="6.8621 -3.9659 0.0000 6.8621 3.9659 0.0000 -4.5762 0.0000 7.2511" Properties=species:S:1:pos:R:3 pbc="T T T"
Tl 0.0000 0.0000 0.0000
Tl 3.4310 1.9830 0.0000
Tl 3.4310 -1.9830 0.0000
Ag -2.2881 0.0000 3.6256
Te 1.1429 1.9830 3.6256
Te 1.1429 -1.9830 3.6256
Te 4.5740 0.0000 3.6256
S 3.3999 1.9301 5.0873
S 0.0628 0.0000 5.0901
S 2.2880 0.0000 2.1058
S 5.7481 1.9301 2.1638
S 3.3999 -1.9301 5.0873
S 6.8600 0.0000 5.1453
S 9.0851 0.0000 2.1610
S 5.7481 -1.9301 2.1638
```

Symmetry: C2/m (12)
Formation energy from raw total energies, meV per atom: -36

***

Er2Pd4Pt | PBE-GGA | relaxed

```
14
Lattice="5.0330 -2.7301 0.0000 5.0330 2.7301 0.0000 0.0000 0.0000 9.5547" Properties=species:S:1:pos:R:3 pbc="T T T"
Er 1.5636 0.0000 0.0000
Er 3.4694 0.0000 4.7773
Er 6.5966 0.0000 4.7773
Er 8.5024 0.0000 0.0000
Pd 2.5165 0.8592 7.1660
Pd 5.0330 1.8874 7.3524
Pd 5.0330 0.8427 2.5750
Pd 2.5165 -0.8592 2.3887
Pd 7.5495 0.8592 7.1660
Pd 5.0330 -0.8427 6.9796
Pd 5.0330 -1.8874 2.2023
Pd 7.5495 -0.8592 2.3887
Pt 0.0000 0.0000 4.7773
Pt 5.0330 0.0000 0.0000
```

Symmetry: Cmce (64)

***

Listing raw total energy for the structures above in their given order: -8.55 -4.03 -3.53 -5.74 eV per atom.